Record 1
# LuSc2In (PBE, optimized geometry)
data_LuSc2In
_symmetry_space_group_name_H-M 'P 1'
_symmetry_Int_Tables_number 1
_cell_length_a 3.382
_cell_length_b 3.382
_cell_length_c 8.698
_cell_angle_alpha 90.00
_cell_angle_beta 90.00
_cell_angle_gamma 90.00
loop_
_symmetry_equiv_pos_as_xyz
'x,y,z'
loop_
_atom_site_label
_atom_site_type_symbol
_atom_site_fract_x
_atom_site_fract_y
_atom_site_fract_z
Sc1 Sc 0.000 0.000 0.231
Lu1 Lu 0.500 0.500 0.500
Sc2 Sc 0.000 0.000 0.769
In1 In 0.500 0.500 0.000
# **Energy above the most stable polymorph in this dataset**: 46 meV/atom
# **M_tot**: 0.000 μB per atom
# **Symmetry**: No. 123
# **Crystal system**: tetragonal
# **ΔE_f**: -83 kJ/mol of formula units


Record 2
# Lu2ScIn (PBE, optimized geometry)
data_Lu2ScIn
_symmetry_space_group_name_H-M 'P 1'
_symmetry_Int_Tables_number 1
_cell_length_a 5.261
_cell_length_b 5.261
_cell_length_c 5.261
_cell_angle_alpha 60.00
_cell_angle_beta 60.00
_cell_angle_gamma 60.00
loop_
_symmetry_equiv_pos_as_xyz
'x,y,z'
loop_
_atom_site_label
_atom_site_type_symbol
_atom_site_fract_x
_atom_site_fract_y
_atom_site_fract_z
Lu1 Lu 0.250 0.250 0.250
Sc1 Sc 0.500 0.500 0.500
In1 In 0.000 0.000 0.000
Lu2 Lu 0.750 0.750 0.750
# **Energy above the most stable polymorph in this dataset**: 121 meV/atom
# **M_tot**: 0.041 μB per atom
# **Symmetry**: No. 225
# **Crystal system**: cubic
# **ΔE_f**: -49 kJ/mol of formula units


Record 3
# Lu2ScIn (PBE, optimized geometry)
data_Lu2ScIn
_symmetry_space_group_name_H-M 'P 1'
_symmetry_Int_Tables_number 1
_cell_length_a 3.501
_cell_length_b 3.501
_cell_length_c 8.567
_cell_angle_alpha 90.00
_cell_angle_beta 90.00
_cell_angle_gamma 90.00
loop_
_symmetry_equiv_pos_as_xyz
'x,y,z'
loop_
_atom_site_label
_atom_site_type_symbol
_atom_site_fract_x
_atom_site_fract_y
_atom_site_fract_z
In1 In 0.500 0.500 0.000
Lu1 Lu 0.000 0.000 0.242
Lu2 Lu 0.000 0.000 0.758
Sc1 Sc 0.500 0.500 0.500
# **Energy above the most stable polymorph in this dataset**: 19 meV/atom
# **M_tot**: 0.000 μB per atom
# **Symmetry**: No. 123
# **Crystal system**: tetragonal
# **ΔE_f**: -88 kJ/mol of formula units


Record 4
# LuScIn2 (PBE, optimized geometry)
data_LuScIn2
_symmetry_space_group_name_H-M 'P 1'
_symmetry_Int_Tables_number 1
_cell_length_a 3.527
_cell_length_b 3.527
_cell_length_c 9.732
_cell_angle_alpha 79.56
_cell_angle_beta 79.56
_cell_angle_gamma 60.00
loop_
_symmetry_equiv_pos_as_xyz
'x,y,z'
loop_
_atom_site_label
_atom_site_type_symbol
_atom_site_fract_x
_atom_site_fract_y
_atom_site_fract_z
In1 In 0.248 0.248 0.257
Sc1 Sc 0.500 0.500 0.500
Lu1 Lu 0.000 0.000 0.000
In2 In 0.752 0.752 0.743
# **M_tot**: 0.000 μB per atom
# **Symmetry**: No. 166
# **Crystal system**: trigonal
# **ΔE_f**: -112 kJ/mol of formula units


Record 5
# LuScIn (PBE, optimized geometry)
data_LuScIn
_symmetry_space_group_name_H-M 'P 1'
_symmetry_Int_Tables_number 1
_cell_length_a 3.372
_cell_length_b 3.372
_cell_length_c 7.024
_cell_angle_alpha 103.89
_cell_angle_beta 103.89
_cell_angle_gamma 90.00
loop_
_symmetry_equiv_pos_as_xyz
'x,y,z'
loop_
_atom_site_label
_atom_site_type_symbol
_atom_site_fract_x
_atom_site_fract_y
_atom_site_fract_z
Sc1 Sc 0.325 0.325 0.651
In1 In 0.672 0.672 0.343
Lu1 Lu 0.003 0.003 0.006
# **Energy above the most stable polymorph in this dataset**: 0 meV/atom
# **M_tot**: 0.000 μB per atom
# **Symmetry**: No. 107
# **Crystal system**: tetragonal
# **ΔE_f**: -87 kJ/mol of formula units


Record 6
# LuSc2In (PBE, optimized geometry)
data_LuSc2In
_symmetry_space_group_name_H-M 'P 1'
_symmetry_Int_Tables_number 1
_cell_length_a 5.157
_cell_length_b 5.157
_cell_length_c 5.157
_cell_angle_alpha 60.00
_cell_angle_beta 60.00
_cell_angle_gamma 60.00
loop_
_symmetry_equiv_pos_as_xyz
'x,y,z'
loop_
_atom_site_label
_atom_site_type_symbol
_atom_site_fract_x
_atom_site_fract_y
_atom_site_fract_z
Sc1 Sc 0.750 0.750 0.750
Sc2 Sc 0.250 0.250 0.250
In1 In 0.000 0.000 0.000
Lu1 Lu 0.500 0.500 0.500
# **Energy above the most stable polymorph in this dataset**: 120 meV/atom
# **M_tot**: 0.275 μB per atom
# **Symmetry**: No. 225
# **Crystal system**: cubic
# **ΔE_f**: -54 kJ/mol of formula units